No. 1
NaZrAs2O8 PBE relaxed; DOS(E_F) = 8.1 states/eV/cell; energy = -0.241 hartree per atom; formation energy without anion corrections = -1.663 eV/atom; V = 12.8 Å³ per atom
1.0
-4.137 0.269 4.139
-0.044 -4.791 -3.371
5.140 -0.016 2.812
Na Zr As O
1 1 2 8
direct
0.250 0.750 0.500
0.000 0.000 0.000
0.750 0.250 0.500
0.500 0.500 0.000
0.389 0.086 0.303
0.311 0.491 0.180
0.311 0.132 0.820
0.783 0.086 0.697
0.868 0.689 0.180
0.914 0.217 0.303
0.914 0.611 0.697
0.509 0.689 0.820


No. 2
NaZrAsO2 PBE relaxed; DOS(E_F) = 2.6 states/eV/cell; energy = -0.220 hartree per atom; formation energy without anion corrections = -1.110 eV/atom; V = 27.8 Å³ per atom
1.0
-2.142 2.183 -2.663
-5.921 1.373 5.890
1.951 3.353 1.180
Na As O Zr
1 1 2 1
direct
0.000 0.500 0.000
0.500 0.500 0.500
0.000 0.000 0.500
0.500 0.000 0.000
0.000 0.000 0.000


No. 3
Na2AsOs PBE relaxed; DOS(E_F) = 4.8 states/eV/cell; energy = -0.150 hartree per atom; V = 35.6 Å³ per atom
1.0
11.107 0.000 0.000
0.000 11.107 0.000
5.554 5.554 2.307
Na As Os
4 2 2
direct
0.424 0.125 0.250
0.326 0.625 0.250
0.375 0.576 0.750
0.875 0.674 0.750
0.500 0.500 0.000
0.250 0.750 0.500
0.000 0.000 0.000
0.750 0.250 0.500


No. 4
NaAsOs PBE relaxed; DOS(E_F) = 8.1 states/eV/cell; energy = -0.208 hartree per atom; V = 18.4 Å³ per atom
1.0
3.044 0.000 0.012
0.000 14.482 0.000
-0.104 0.000 5.000
Na As Os
4 4 4
direct
0.272 0.182 0.430
0.272 0.818 0.430
0.272 0.682 0.930
0.272 0.318 0.930
0.740 0.381 0.439
0.740 0.619 0.439
0.740 0.881 0.939
0.740 0.119 0.939
0.218 0.000 0.728
0.218 0.500 0.228
0.788 0.000 0.285
0.788 0.500 0.785


Which formula does entry 2 have?
NaZrAsO2